Material: CePr2Th3As6
Method: DFT, PBE
State: optimized geometry

Cell: 9.5439 9.5439 8.5309 Å, 102.89 102.89 25.85°
Last column: nearest neighbours and their distance in Å.
Positions (direct):
Ce 0.0000 0.0000 0.0000  6 As 3.01
Pr 0.3329 0.3329 0.6655  6 As 3.04-3.05
Pr 0.6671 0.6671 0.3345  6 As 3.04-3.05
Th 0.0000 0.0000 0.5000  6 As 2.99-3.02
Th 0.3327 0.3327 0.1670  6 As 2.99-3.02
Th 0.6673 0.6673 0.8330  6 As 2.99-3.02
As 0.1654 0.1654 0.5866  3 Th 2.99, 3 Pr 3.04
As 0.1661 0.1661 0.0792  3 Th 3.00-3.02, 1 Ce 3.01, 2 Pr 3.05
As 0.4986 0.4986 0.2483  3 Th 3.00-3.02, 2 Ce 3.01, 1 Pr 3.05
As 0.5014 0.5014 0.7517  3 Th 3.00-3.02, 2 Ce 3.01, 1 Pr 3.05
As 0.8339 0.8339 0.9208  3 Th 3.00-3.02, 1 Ce 3.01, 2 Pr 3.05
As 0.8346 0.8346 0.4134  3 Th 2.99, 3 Pr 3.04

Output
Its space group is C2/m (12). Its formation energy is -1.455 eV/atom. The crystal system is monoclinic. The calculation puts the spin magnetization at 0.73 μB/cell.